Density functional theory data (PBE-GGA) for a relaxed structure of Nd6Ho.

**ΔE_f**: 0.240 eV per atom
**DFT total energy**: -4.50 eV/atom
**Density of states at the Fermi level**: 16.94 states/eV/cell
**Energy above the most stable polymorph in this dataset**: 0.00 eV per formula unit

Cell lengths 6.6263, 6.6263, 11.3623 Å; angles 90.00, 90.00, 90.00 degrees
With the nearest neighbours (Å) after each atom.
Space group P4/nbm (No. 125, origin choice 2)
Unique sites:
Nd 0.0816 0.5816 0.1396 x8  6 Nd 3.16-3.52
Nd 0.2500 0.2500 0.3632 x4  1 Nd 3.11
Ho 0.2500 0.7500 0.5000 x2  8 Nd 3.66